# 1
Density functional theory data (PBE) for a relaxed structure of Nd4Ho2ErTm2.

The calculation puts the formation energy at 0.02 eV/atom. As for the density of states at the Fermi level: 27.252 states/eV per cell.

The space group is C2/m (No. 12) and the conventional cell measures 15.2312, 5.0650 and 8.0101 Å, with angles of 90.00, 108.41 and 90.00 degrees. The distinct sites, in fractional coordinates, are Nd at (0.0538, 0.0000, 0.3302), Nd at (0.2228, 0.5000, 0.3312), Ho at (0.1115, 0.5000, 0.6704), Er at (0.0000, 0.5000, 0.0000) and Tm at (0.1673, 0.0000, 0.9997).

=====

# 2
Density functional theory data (PBE) for a relaxed structure of NdHo2Er6Tm3.

The calculation puts the formation energy at 0.02 eV/atom. As for the density of states at the Fermi level: 32.800 states/eV per cell.

The space group is C2/m (No. 12) and the conventional cell measures 6.0950, 10.5439 and 11.6584 Å, with angles of 90.00, 100.01 and 90.00 degrees. The distinct sites, in fractional coordinates, are Nd at (0.0000, 0.0000, 0.0000), Ho at (0.0000, 0.3334, 0.0000), Er at (0.2481, 0.3330, 0.7476), Er at (0.2492, 0.0000, 0.7477), Tm at (0.0000, 0.1670, 0.5000) and Tm at (0.0000, 0.5000, 0.5000).

=====

# 3
Density functional theory data (PBE) for a relaxed structure of Nd2HoErTm2.

The calculation puts the formation energy at 0.07 eV/atom. As for the density of states at the Fermi level: 18.640 states/eV per cell.

The space group is Pmma (No. 51) and the conventional cell measures 6.9800, 5.6234 and 9.7391 Å, with angles of 90.00, 90.00 and 90.00 degrees. The distinct sites, in fractional coordinates, are Nd at (0.0000, 0.0000, 0.0000), Nd at (0.2500, 0.5000, 0.1776), Ho at (0.2500, 0.0000, 0.6586), Er at (0.0000, 0.5000, 0.5000), Tm at (0.2500, 0.0000, 0.3324) and Tm at (0.2500, 0.5000, 0.8358).

=====

# 4
Density functional theory data (PBE) for a relaxed structure of NdHo5ErTm2.

The calculation puts the formation energy at 0.17 eV/atom. As for the density of states at the Fermi level: 59.090 states/eV per cell.

The space group is Cmc2_1 (No. 36) and the conventional cell measures 5.5666, 19.7025 and 10.4825 Å, with angles of 90.00, 90.00 and 90.00 degrees. The distinct sites, in fractional coordinates, are Nd at (0.0000, 0.0843, 0.0000), Ho at (0.0000, 0.0216, 0.2859), Ho at (0.0000, 0.1130, 0.5716), Ho at (0.0000, 0.2015, 0.2582), Ho at (0.0000, 0.2191, 0.8616), Ho at (0.0000, 0.4823, 0.5727), Er at (0.0000, 0.3007, 0.5611), Tm at (0.0000, 0.3866, 0.8668) and Tm at (0.0000, 0.3890, 0.2844).

=====

# 5
Density functional theory data (PBE) for a relaxed structure of Nd2Ho4ErTm2.

The calculation puts the formation energy at 0.09 eV/atom. As for the density of states at the Fermi level: 14.173 states/eV per cell.

The space group is P-1 (No. 2) and the conventional cell measures 5.9766, 6.5947 and 8.5491 Å, with angles of 79.74, 70.19 and 64.96 degrees. The distinct sites, in fractional coordinates, are Nd at (0.2323, 0.3235, 0.3421), Ho at (0.1136, 0.1263, 0.7643), Ho at (0.2421, 0.5722, 0.8846), Er at (0.5000, 0.0000, 0.0000) and Tm at (0.3219, 0.7703, 0.4456).

=====

# 6
Density functional theory data (PBE) for a relaxed structure of Nd2Ho4Er2Tm.

The calculation puts the formation energy at 0.09 eV/atom. As for the density of states at the Fermi level: 14.388 states/eV per cell.

The space group is P-1 (No. 2) and the conventional cell measures 5.9872, 6.6213 and 8.5477 Å, with angles of 79.35, 69.90 and 64.76 degrees. The distinct sites, in fractional coordinates, are Nd at (0.2330, 0.3237, 0.3412), Ho at (0.1098, 0.1247, 0.7674), Ho at (0.2433, 0.5685, 0.8840), Er at (0.3217, 0.7715, 0.4462) and Tm at (0.5000, 0.0000, 0.0000).

=====

Calculated raw total energy in order - -41.5; -54.4; -27.2; -39.7; -40.6; -40.6 eV per formula unit
Calculated density in order - 7.998; 8.932; 8.327; 8.516; 8.409; 8.383 g/cm3
Calculated magnetization in order - 0.0; 0.0; 0.0; 0.0; 0.0; 0.0 μB per cell